# PBE-GGA Y5ErZn, optimized geometry
data_Y5ErZn
_chemical_formula_sum 'Y10 Er2 Zn2'
_space_group_name_H-M_alt 'P 1'
_space_group_IT_number 1
_cell_length_a 6.519
_cell_length_b 6.519
_cell_length_c 11.193
_cell_angle_alpha 103.91
_cell_angle_beta 103.91
_cell_angle_gamma 95.44
loop_
_space_group_symop_operation_xyz
'x,y,z'
loop_
_atom_site_label
_atom_site_fract_x
_atom_site_fract_y
_atom_site_fract_z
Y1 0.089 0.911 0.750
Y2 0.117 0.619 0.306
Y3 0.180 0.328 0.999
Y4 0.328 0.180 0.499
Y5 0.381 0.883 0.194
Y6 0.619 0.117 0.806
Y7 0.672 0.820 0.501
Y8 0.820 0.672 0.001
Y9 0.883 0.381 0.694
Y10 0.911 0.089 0.250
Er1 0.414 0.586 0.750
Er2 0.586 0.414 0.250
Zn1 0.000 0.500 0.500
Zn2 0.500 0.000 0.000
# * density of states at the Fermi level: 18.92 states/eV/cell
# * formation energy from the elements: 179 meV/atom
# * theoretical density: 5.1 Mg/m³

# PBE-GGA Y2Er3Zn2, optimized geometry
data_Y2Er3Zn2
_chemical_formula_sum 'Y2 Er3 Zn2'
_space_group_name_H-M_alt 'P 1'
_space_group_IT_number 1
_cell_length_a 6.072
_cell_length_b 6.072
_cell_length_c 8.072
_cell_angle_alpha 113.72
_cell_angle_beta 113.72
_cell_angle_gamma 44.96
loop_
_space_group_symop_operation_xyz
'x,y,z'
loop_
_atom_site_label
_atom_site_fract_x
_atom_site_fract_y
_atom_site_fract_z
Y1 0.137 0.137 0.290
Y2 0.863 0.863 0.710
Er1 0.367 0.367 0.043
Er2 0.500 0.500 0.500
Er3 0.633 0.633 0.957
Zn1 0.152 0.152 0.690
Zn2 0.848 0.848 0.310
# * density of states at the Fermi level: 8.27 states/eV/cell
# * energy relative to the lowest polymorph listed for this composition: 14.7 kJ/mol of formula units
# * formation energy from the elements: -106 meV/atom
# * theoretical density: 7.1 Mg/m³

# PBE-GGA YErZn, optimized geometry
data_YErZn
_chemical_formula_sum 'Y1 Er1 Zn1'
_space_group_name_H-M_alt 'P 1'
_space_group_IT_number 1
_cell_length_a 4.976
_cell_length_b 4.976
_cell_length_c 3.636
_cell_angle_alpha 90.00
_cell_angle_beta 90.00
_cell_angle_gamma 120.00
loop_
_space_group_symop_operation_xyz
'x,y,z'
loop_
_atom_site_label
_atom_site_fract_x
_atom_site_fract_y
_atom_site_fract_z
Y1 0.000 0.000 0.000
Er1 0.333 0.667 0.536
Zn1 0.667 0.333 0.305
# * density of states at the Fermi level: 3.12 states/eV/cell
# * energy relative to the lowest polymorph listed for this composition: 48.0 kJ/mol of formula units
# * formation energy from the elements: -54 meV/atom
# * theoretical density: 6.8 Mg/m³

# PBE-GGA Y6ErZn2, optimized geometry
data_Y6ErZn2
_chemical_formula_sum 'Y6 Er1 Zn2'
_space_group_name_H-M_alt 'P 1'
_space_group_IT_number 1
_cell_length_a 6.513
_cell_length_b 6.513
_cell_length_c 11.850
_cell_angle_alpha 109.06
_cell_angle_beta 109.06
_cell_angle_gamma 32.32
loop_
_space_group_symop_operation_xyz
'x,y,z'
loop_
_atom_site_label
_atom_site_fract_x
_atom_site_fract_y
_atom_site_fract_z
Y1 0.027 0.027 0.324
Y2 0.310 0.310 0.124
Y3 0.317 0.317 0.411
Y4 0.683 0.683 0.589
Y5 0.690 0.690 0.876
Y6 0.973 0.973 0.676
Er1 0.000 0.000 0.000
Zn1 0.351 0.351 0.800
Zn2 0.649 0.649 0.200
# * density of states at the Fermi level: 11.06 states/eV/cell
# * formation energy from the elements: -147 meV/atom
# * theoretical density: 5.5 Mg/m³

# PBE-GGA YEr3Zn, optimized geometry
data_YEr3Zn
_chemical_formula_sum 'Y2 Er6 Zn2'
_space_group_name_H-M_alt 'P 1'
_space_group_IT_number 1
_cell_length_a 7.076
_cell_length_b 7.076
_cell_length_c 7.665
_cell_angle_alpha 117.44
_cell_angle_beta 117.44
_cell_angle_gamma 72.58
loop_
_space_group_symop_operation_xyz
'x,y,z'
loop_
_atom_site_label
_atom_site_fract_x
_atom_site_fract_y
_atom_site_fract_z
Y1 0.082 0.082 0.274
Y2 0.918 0.918 0.726
Er1 0.012 0.609 0.284
Er2 0.391 0.988 0.716
Er3 0.452 0.452 0.689
Er4 0.548 0.548 0.311
Er5 0.609 0.012 0.284
Er6 0.988 0.391 0.716
Zn1 0.233 0.233 0.066
Zn2 0.767 0.767 0.934
# * density of states at the Fermi level: 15.39 states/eV/cell
# * formation energy from the elements: 56 meV/atom
# * theoretical density: 7.3 Mg/m³

# PBE-GGA YEr3Zn2, optimized geometry
data_YEr3Zn2
_chemical_formula_sum 'Y1 Er3 Zn2'
_space_group_name_H-M_alt 'P 1'
_space_group_IT_number 1
_cell_length_a 3.546
_cell_length_b 3.546
_cell_length_c 12.098
_cell_angle_alpha 90.00
_cell_angle_beta 90.00
_cell_angle_gamma 90.00
loop_
_space_group_symop_operation_xyz
'x,y,z'
loop_
_atom_site_label
_atom_site_fract_x
_atom_site_fract_y
_atom_site_fract_z
Y1 0.000 0.000 0.000
Er1 0.500 0.500 0.211
Er2 0.500 0.500 0.500
Er3 0.500 0.500 0.789
Zn1 0.000 0.000 0.356
Zn2 0.000 0.000 0.644
# * density of states at the Fermi level: 6.49 states/eV/cell
# * energy relative to the lowest polymorph listed for this composition: 6.7 kJ/mol of formula units
# * formation energy from the elements: -229 meV/atom
# * theoretical density: 7.9 Mg/m³

# PBE-GGA YErZn, optimized geometry
data_YErZn
_chemical_formula_sum 'Y2 Er2 Zn2'
_space_group_name_H-M_alt 'P 1'
_space_group_IT_number 1
_cell_length_a 4.670
_cell_length_b 4.670
_cell_length_c 7.299
_cell_angle_alpha 90.00
_cell_angle_beta 90.00
_cell_angle_gamma 90.00
loop_
_space_group_symop_operation_xyz
'x,y,z'
loop_
_atom_site_label
_atom_site_fract_x
_atom_site_fract_y
_atom_site_fract_z
Y1 0.250 0.250 0.132
Y2 0.750 0.750 0.868
Er1 0.250 0.750 0.500
Er2 0.750 0.250 0.500
Zn1 0.250 0.250 0.745
Zn2 0.750 0.750 0.255
# * density of states at the Fermi level: 3.72 states/eV/cell
# * energy relative to the lowest polymorph listed for this composition: 18.9 kJ/mol of formula units
# * formation energy from the elements: -155 meV/atom
# * theoretical density: 6.7 Mg/m³

# PBE-GGA YErZn, optimized geometry
data_YErZn
_chemical_formula_sum 'Y1 Er1 Zn1'
_space_group_name_H-M_alt 'P 1'
_space_group_IT_number 1
_cell_length_a 4.934
_cell_length_b 4.934
_cell_length_c 4.934
_cell_angle_alpha 119.96
_cell_angle_beta 119.96
_cell_angle_gamma 90.07
loop_
_space_group_symop_operation_xyz
'x,y,z'
loop_
_atom_site_label
_atom_site_fract_x
_atom_site_fract_y
_atom_site_fract_z
Y1 0.000 0.000 0.000
Er1 0.500 0.500 0.000
Zn1 0.750 0.250 0.500
# * density of states at the Fermi level: 3.95 states/eV/cell
# * energy relative to the lowest polymorph listed for this composition: 67.6 kJ/mol of formula units
# * formation energy from the elements: 13 meV/atom
# * theoretical density: 6.3 Mg/m³

# PBE-GGA Y6Er2Zn, optimized geometry
data_Y6Er2Zn
_chemical_formula_sum 'Y12 Er4 Zn2'
_space_group_name_H-M_alt 'P 1'
_space_group_IT_number 1
_cell_length_a 10.042
_cell_length_b 10.088
_cell_length_c 5.347
_cell_angle_alpha 90.00
_cell_angle_beta 90.00
_cell_angle_gamma 90.00
loop_
_space_group_symop_operation_xyz
'x,y,z'
loop_
_atom_site_label
_atom_site_fract_x
_atom_site_fract_y
_atom_site_fract_z
Y1 0.040 0.186 0.000
Y2 0.123 0.619 0.500
Y3 0.186 0.954 0.500
Y4 0.314 0.454 0.000
Y5 0.377 0.119 0.000
Y6 0.460 0.686 0.500
Y7 0.540 0.314 0.500
Y8 0.623 0.881 0.000
Y9 0.686 0.546 0.000
Y10 0.814 0.046 0.500
Y11 0.877 0.381 0.500
Y12 0.960 0.814 0.000
Er1 0.214 0.280 0.500
Er2 0.286 0.780 0.000
Er3 0.714 0.220 0.000
Er4 0.786 0.720 0.500
Zn1 0.000 0.500 0.000
Zn2 0.500 0.000 0.500
# * density of states at the Fermi level: 31.19 states/eV/cell
# * formation energy from the elements: 12 meV/atom
# * theoretical density: 5.7 Mg/m³

# PBE-GGA Y3Er2Zn2, optimized geometry
data_Y3Er2Zn2
_chemical_formula_sum 'Y3 Er2 Zn2'
_space_group_name_H-M_alt 'P 1'
_space_group_IT_number 1
_cell_length_a 15.583
_cell_length_b 15.583
_cell_length_c 3.481
_cell_angle_alpha 90.00
_cell_angle_beta 90.00
_cell_angle_gamma 167.02
loop_
_space_group_symop_operation_xyz
'x,y,z'
loop_
_atom_site_label
_atom_site_fract_x
_atom_site_fract_y
_atom_site_fract_z
Y1 0.000 0.000 0.000
Y2 0.120 0.880 0.000
Y3 0.880 0.120 0.000
Er1 0.298 0.702 0.500
Er2 0.702 0.298 0.500
Zn1 0.442 0.558 0.500
Zn2 0.558 0.442 0.500
# * density of states at the Fermi level: 10.89 states/eV/cell
# * energy relative to the lowest polymorph listed for this composition: 38.9 kJ/mol of formula units
# * formation energy from the elements: -109 meV/atom
# * theoretical density: 6.4 Mg/m³

# PBE-GGA Y3ErZn4, optimized geometry
data_Y3ErZn4
_chemical_formula_sum 'Y3 Er1 Zn4'
_space_group_name_H-M_alt 'P 1'
_space_group_IT_number 1
_cell_length_a 8.736
_cell_length_b 8.736
_cell_length_c 8.736
_cell_angle_alpha 33.63
_cell_angle_beta 33.63
_cell_angle_gamma 33.63
loop_
_space_group_symop_operation_xyz
'x,y,z'
loop_
_atom_site_label
_atom_site_fract_x
_atom_site_fract_y
_atom_site_fract_z
Y1 0.000 0.000 0.000
Y2 0.249 0.249 0.249
Y3 0.751 0.751 0.751
Er1 0.500 0.500 0.500
Zn1 0.125 0.125 0.125
Zn2 0.375 0.375 0.375
Zn3 0.625 0.625 0.625
Zn4 0.875 0.875 0.875
# * density of states at the Fermi level: 8.16 states/eV/cell
# * formation energy from the elements: -360 meV/atom
# * theoretical density: 6.3 Mg/m³

# PBE-GGA YErZn4, optimized geometry
data_YErZn4
_chemical_formula_sum 'Y1 Er1 Zn4'
_space_group_name_H-M_alt 'P 1'
_space_group_IT_number 1
_cell_length_a 5.449
_cell_length_b 5.449
_cell_length_c 5.449
_cell_angle_alpha 60.00
_cell_angle_beta 60.00
_cell_angle_gamma 60.00
loop_
_space_group_symop_operation_xyz
'x,y,z'
loop_
_atom_site_label
_atom_site_fract_x
_atom_site_fract_y
_atom_site_fract_z
Y1 0.000 0.000 0.000
Er1 0.250 0.250 0.250
Zn1 0.125 0.625 0.625
Zn2 0.625 0.125 0.625
Zn3 0.625 0.625 0.125
Zn4 0.625 0.625 0.625
# * density of states at the Fermi level: 2.66 states/eV/cell
# * energy relative to the lowest polymorph listed for this composition: 27.7 kJ/mol of formula units
# * formation energy from the elements: -337 meV/atom
# * theoretical density: 7.5 Mg/m³

Which of these has the highest formation energy from the elements? Y5ErZn